The following is a PBE calculation of an optimized crystal structure of Ac2Cd2Hg, from the Alexandria database.

- Energy of formation from the pure elements: -333 meV/atom
- Magnetization: 0.0 μB per formula unit
- Energy above the lowest structure with this stoichiometry: 0.0000 eV/atom
- Fermi-level density of states: 10.83 states/eV per cell
- DFT total energy: -2.4030 eV/atom

a b c (Å): 5.0506 6.4260 11.0184
angles (deg): 87.97 76.75 66.86
Fractional coordinates of all 10 atoms:
1 Cd 0.9257 0.7118 0.4367
2 Cd 0.6349 0.8432 0.8869
3 Cd 0.3651 0.1568 0.1131
4 Cd 0.0743 0.2882 0.5633
5 Ac 0.6883 0.2842 0.3392
6 Ac 0.3117 0.7158 0.6608
7 Ac 0.0826 0.7265 0.1083
8 Ac 0.9174 0.2735 0.8917
9 Hg 0.6119 0.1166 0.6595
10 Hg 0.3881 0.8834 0.3405

---

The following is a PBE calculation of an optimized crystal structure of Ac6CdHg3, from the Alexandria database.

- Energy of formation from the pure elements: -288 meV/atom
- Magnetization: 0.0 μB per formula unit
- Fermi-level density of states: 19.78 states/eV per cell
- DFT total energy: -2.9353 eV/atom

a b c (Å): 5.6190 10.2960 12.9392
angles (deg): 106.03 90.00 90.00
Fractional coordinates of all 20 atoms:
1 Ac 0.7500 0.8811 0.8424
2 Ac 0.2500 0.8608 0.3445
3 Ac 0.7500 0.8670 0.1112
4 Ac 0.7500 0.4958 0.8880
5 Ac 0.2500 0.5042 0.1120
6 Ac 0.2500 0.1189 0.1576
7 Ac 0.2500 0.6388 0.6913
8 Ac 0.7500 0.7390 0.5077
9 Ac 0.7500 0.1392 0.6555
10 Ac 0.2500 0.1330 0.8888
11 Ac 0.7500 0.3612 0.3087
12 Ac 0.2500 0.2610 0.4923
13 Cd 0.7500 0.0614 0.3709
14 Cd 0.2500 0.9386 0.6291
15 Hg 0.2500 0.3532 0.7597
16 Hg 0.7500 0.4559 0.6025
17 Hg 0.7500 0.6468 0.2403
18 Hg 0.2500 0.7729 0.9648
19 Hg 0.7500 0.2271 0.0352
20 Hg 0.2500 0.5441 0.3975

---

The following is a PBE calculation of an optimized crystal structure of AcCd2Hg5, from the Alexandria database.

- Energy of formation from the pure elements: -160 meV/atom
- Magnetization: 0.0 μB per formula unit
- Fermi-level density of states: 4.61 states/eV per cell
- DFT total energy: -1.0905 eV/atom

a b c (Å): 4.1218 7.7376 7.7376
angles (deg): 65.75 74.55 74.55
Fractional coordinates of all 8 atoms:
1 Cd 0.2427 0.2573 0.2573
2 Cd 0.7573 0.7427 0.7427
3 Hg 0.3725 0.4112 0.8437
4 Hg 0.6275 0.5888 0.1563
5 Hg 0.6275 0.1563 0.5888
6 Hg 0.3725 0.8437 0.4112
7 Hg 0.0000 0.5000 0.5000
8 Ac 0.0000 0.0000 0.0000

---

The following is a PBE calculation of an optimized crystal structure of AcCd6Hg2, from the Alexandria database.

- Energy of formation from the pure elements: -75 meV/atom
- Magnetization: 0.0 μB per formula unit
- Energy above the lowest structure with this stoichiometry: 0.0925 eV/atom
- Fermi-level density of states: 5.14 states/eV per cell
- DFT total energy: -1.2087 eV/atom

a b c (Å): 3.6087 8.8369 8.8369
angles (deg): 60.77 78.43 78.43
Fractional coordinates of all 9 atoms:
1 Hg 0.1294 0.3575 0.3575
2 Hg 0.8706 0.6425 0.6425
3 Cd 0.5000 0.6668 0.3332
4 Cd 0.6796 0.9938 0.6460
5 Cd 0.3204 0.0063 0.3540
6 Cd 0.3204 0.3540 0.0063
7 Cd 0.6796 0.6460 0.9938
8 Cd 0.5000 0.3332 0.6668
9 Ac 0.0000 0.0000 0.0000

---

The following is a PBE calculation of an optimized crystal structure of Ac2Cd9Hg3, from the Alexandria database.

- Energy of formation from the pure elements: -210 meV/atom
- Magnetization: 0.0 μB per formula unit
- Fermi-level density of states: 9.94 states/eV per cell
- DFT total energy: -1.4503 eV/atom

a b c (Å): 8.9209 8.9209 10.2060
angles (deg): 90.00 90.00 119.24
Fractional coordinates of all 28 atoms:
1 Cd 0.0278 0.3508 0.0950
2 Cd 0.3508 0.0278 0.4050
3 Cd 0.9722 0.6492 0.5950
4 Cd 0.4406 0.6331 0.7500
5 Cd 0.9722 0.6492 0.9050
6 Cd 0.3508 0.0278 0.0950
7 Cd 0.8466 0.8466 0.7500
8 Cd 0.6492 0.9722 0.9050
9 Cd 0.5594 0.3669 0.2500
10 Cd 0.6492 0.9722 0.5950
11 Cd 0.6331 0.4406 0.7500
12 Cd 0.1534 0.1534 0.2500
13 Cd 0.0278 0.3508 0.4050
14 Cd 0.3350 0.3350 0.5483
15 Cd 0.6650 0.6650 0.4517
16 Cd 0.3350 0.3350 0.9517
17 Cd 0.3669 0.5594 0.2500
18 Cd 0.6650 0.6650 0.0483
19 Hg 0.0000 0.0000 0.0000
20 Hg 0.6934 0.3066 0.5000
21 Hg 0.6934 0.3066 0.0000
22 Hg 0.0000 0.0000 0.5000
23 Hg 0.3066 0.6934 0.5000
24 Hg 0.3066 0.6934 0.0000
25 Ac 0.6874 0.0069 0.2500
26 Ac 0.9931 0.3126 0.7500
27 Ac 0.3126 0.9931 0.7500
28 Ac 0.0069 0.6874 0.2500

---

The following is a PBE calculation of an optimized crystal structure of AcCd3Hg, from the Alexandria database.

- Energy of formation from the pure elements: -158 meV/atom
- Magnetization: 0.0 μB per formula unit
- Energy above the lowest structure with this stoichiometry: 0.1134 eV/atom
- Fermi-level density of states: 5.82 states/eV per cell
- DFT total energy: -1.5893 eV/atom

a b c (Å): 6.2680 7.1747 7.1746
angles (deg): 120.00 90.00 90.00
Fractional coordinates of all 10 atoms:
1 Ac 0.7499 0.6667 0.3334
2 Ac 0.2501 0.3333 0.6666
3 Hg 0.0000 0.0000 0.0000
4 Hg 0.5000 0.0000 0.0000
5 Cd 0.2499 0.8037 0.1962
6 Cd 0.2500 0.8037 0.6075
7 Cd 0.7500 0.6074 0.8037
8 Cd 0.7500 0.1963 0.3925
9 Cd 0.2500 0.3926 0.1963
10 Cd 0.7501 0.1963 0.8038

---

The following is a PBE calculation of an optimized crystal structure of Ac2Cd2Hg, from the Alexandria database.

- Energy of formation from the pure elements: -311 meV/atom
- Magnetization: 0.0 μB per formula unit
- Energy above the lowest structure with this stoichiometry: 0.0225 eV/atom
- Fermi-level density of states: 8.35 states/eV per cell
- DFT total energy: -2.3805 eV/atom

a b c (Å): 5.7532 11.5284 15.2298
angles (deg): 19.01 79.12 75.65
Fractional coordinates of all 10 atoms:
1 Cd 0.5433 0.1013 0.3228
2 Cd 0.9614 0.3988 0.1771
3 Cd 0.4567 0.8987 0.6772
4 Cd 0.0386 0.6012 0.8229
5 Hg 0.7515 0.2503 0.7498
6 Hg 0.2485 0.7497 0.2502
7 Ac 0.3533 0.8313 0.9608
8 Ac 0.1487 0.6682 0.5395
9 Ac 0.6467 0.1687 0.0392
10 Ac 0.8513 0.3318 0.4605

---

The following is a PBE calculation of an optimized crystal structure of AcCd6Hg12, from the Alexandria database.

- Energy of formation from the pure elements: -22 meV/atom
- Magnetization: 0.0 μB per formula unit
- Energy above the lowest structure with this stoichiometry: 0.0474 eV/atom
- Fermi-level density of states: 6.92 states/eV per cell
- DFT total energy: -0.7180 eV/atom

a b c (Å): 8.4560 8.4560 8.4560
angles (deg): 106.45 106.45 106.45
Fractional coordinates of all 19 atoms:
1 Hg 0.5000 0.1115 0.8885
2 Hg 0.5000 0.8885 0.1115
3 Hg 0.6345 0.8776 0.6345
4 Hg 0.8776 0.6345 0.6345
5 Hg 0.6345 0.6345 0.8776
6 Hg 0.1224 0.3655 0.3655
7 Hg 0.8885 0.1115 0.5000
8 Hg 0.3655 0.3655 0.1224
9 Hg 0.8885 0.5000 0.1115
10 Hg 0.1115 0.8885 0.5000
11 Hg 0.3655 0.1224 0.3655
12 Hg 0.1115 0.5000 0.8885
13 Cd 0.3017 0.7104 0.3017
14 Cd 0.3017 0.3017 0.7104
15 Cd 0.6983 0.2896 0.6983
16 Cd 0.2896 0.6983 0.6983
17 Cd 0.6983 0.6983 0.2896
18 Cd 0.7104 0.3017 0.3017
19 Ac 0.0000 0.0000 0.0000